## AlTcPt2 (PBE)

Data for a relaxed structure of AlTcPt2.

```
data_AlTcPt2
_space_group_name_H-M_alt 'I -4 m 2'
_space_group_IT_number 119
_space_group_name_Hall 'I -4 -2'
_cell_length_a 3.968
_cell_length_b 3.968
_cell_length_c 7.583
_cell_angle_alpha 90.00
_cell_angle_beta 90.00
_cell_angle_gamma 90.00
loop_
_atom_site_label
_atom_site_type_symbol
_atom_site_fract_x
_atom_site_fract_y
_atom_site_fract_z
_atom_site_occupancy
Al1 Al 0.000 0.000 0.000 1
Tc1 Tc 0.000 0.500 0.250 1
Pt1 Pt 0.000 0.000 0.500 1
Pt2 Pt 0.000 0.500 0.750 1
```

## Properties
total energy: -6.92 eV per atom
energy above the lowest structure with this stoichiometry: 48.3 kJ/mol of formula units
ΔE_f: -377 meV per atom
D(E_F): 7.6 states/eV/cell



## Al3TcPt (PBE)

Data for a relaxed structure of Al3TcPt.

```
data_Al3TcPt
_space_group_name_H-M_alt 'P m -3 m'
_space_group_IT_number 221
_space_group_name_Hall '-P 4 2 3'
_cell_length_a 4.682
_cell_length_b 4.682
_cell_length_c 4.682
_cell_angle_alpha 90.00
_cell_angle_beta 90.00
_cell_angle_gamma 90.00
loop_
_atom_site_label
_atom_site_type_symbol
_atom_site_fract_x
_atom_site_fract_y
_atom_site_fract_z
_atom_site_occupancy
Al1 Al 0.000 0.000 0.500 1
Tc1 Tc 0.500 0.500 0.500 1
Pt1 Pt 0.000 0.000 0.000 1
```

## Properties
total energy: -5.09 eV per atom
energy above the lowest structure with this stoichiometry: 0.0 kJ/mol of formula units
ΔE_f: 434 meV per atom
D(E_F): 3.8 states/eV/cell



## AlTcPt (PBE)

Data for a relaxed structure of AlTcPt.

```
data_AlTcPt
_space_group_name_H-M_alt 'P -6 m 2'
_space_group_IT_number 187
_space_group_name_Hall 'P -6 2'
_cell_length_a 4.3425
_cell_length_b 4.3425
_cell_length_c 2.7434
_cell_angle_alpha 90.00
_cell_angle_beta 90.00
_cell_angle_gamma 120.00
loop_
_atom_site_label
_atom_site_type_symbol
_atom_site_fract_x
_atom_site_fract_y
_atom_site_fract_z
_atom_site_occupancy
Al1 Al 0.0000 0.0000 0.0000 1
Tc1 Tc 0.3333 0.6667 0.5000 1
Pt1 Pt 0.6667 0.3333 0.0000 1
```

## Properties
total energy: -7.01 eV per atom
energy above the lowest structure with this stoichiometry: 39.4 kJ/mol of formula units
ΔE_f: -295 meV per atom
D(E_F): 3.7 states/eV/cell